No. 1
The following is a DFT calculation (GGA-PBEsol) of a relaxed structure of AlAs2PdBr.

## Properties
The calculation puts the density at 5.1 Mg/m³. Its density of states at the Fermi level is 5.50 states/eV/cell. The calculation puts the raw formation energy at 0.490 eV/atom.

abc: 4.793 4.793 5.175
angles: 90.00 90.00 90.00
Space group P4/mmm (No. 123)
Unique sites:
1 Al 0.000 0.000 0.000 [1 per cell]
2 As 0.000 0.500 0.500 [2 per cell]
3 Pd 0.500 0.500 0.500 [1 per cell]
4 Br 0.500 0.500 0.000 [1 per cell]

No. 2
The following is a DFT calculation (GGA-PBEsol) of a relaxed structure of AlAsSeBr2.

## Properties
The calculation puts the density at 4.0 Mg/m³. Its density of states at the Fermi level is 3.29 states/eV/cell. The calculation puts the raw formation energy at 0.432 eV/atom.

abc: 5.257 5.257 5.087
angles: 90.00 90.00 90.00
Space group P4/mmm (No. 123)
Unique sites:
1 Al 0.000 0.000 0.000 [1 per cell]
2 As 0.500 0.500 0.000 [1 per cell]
3 Se 0.500 0.500 0.500 [1 per cell]
4 Br 0.000 0.500 0.500 [2 per cell]